Entry 1:
The following is a DFT calculation (PBE) of a geometry-optimized NaTaSeO5 structure.

```
NaTaSeO5
1.0
5.695 0.414 -0.219
-1.267 5.568 -0.219
-2.106 -2.845 7.175
O Na Ta Se
10 2 2 2
Direct
0.711 0.156 0.456
0.989 0.011 0.750
0.638 0.742 0.867
0.011 0.989 0.250
0.742 0.638 0.367
0.156 0.711 0.956
0.258 0.362 0.633
0.844 0.289 0.044
0.289 0.844 0.544
0.362 0.258 0.133
0.687 0.313 0.750
0.313 0.687 0.250
0.000 0.000 0.000
0.000 0.000 0.500
0.694 0.306 0.250
0.306 0.694 0.750
```

formation energy without anion corrections: -1.78 eV per atom
symmetry: C2/c (15)
total energy: -111.38 eV for the cell shown

=====

Entry 2:
The following is a DFT calculation (PBE) of a geometry-optimized NaTbSe2O6 structure.

```
NaTbSe2O6
1.0
5.442 0.000 0.000
2.721 4.713 0.000
2.721 1.571 6.000
Se Na O Tb
2 1 6 1
Direct
0.281 0.281 0.157
0.719 0.719 0.843
0.000 0.000 0.000
0.260 0.942 0.273
0.476 0.740 0.727
0.058 0.476 0.727
0.740 0.058 0.727
0.942 0.524 0.273
0.524 0.260 0.273
0.500 0.500 0.500
```

formation energy without anion corrections: -1.71 eV per atom
symmetry: R-3 (148)
total energy: -59.78 eV for the cell shown

=====

Entry 3:
The following is a DFT calculation (PBE) of a geometry-optimized NaTbSeO4 structure.

```
NaTbSeO4
1.0
7.103 0.000 0.000
3.552 5.510 -0.158
3.552 1.528 5.296
Na Se O Tb
2 2 8 2
Direct
0.500 0.000 0.500
0.000 0.000 0.500
0.602 0.648 0.148
0.398 0.352 0.852
0.723 0.731 0.823
0.723 0.323 0.231
0.790 0.252 0.752
0.793 0.748 0.248
0.277 0.677 0.769
0.277 0.269 0.177
0.210 0.748 0.248
0.207 0.252 0.752
0.000 0.500 0.500
0.000 0.000 0.000
```

formation energy without anion corrections: -1.84 eV per atom
symmetry: Imma (74)
total energy: -84.23 eV for the cell shown

=====

Entry 4:
The following is a DFT calculation (PBE) of a geometry-optimized NaTbSe2O8 structure.

```
NaTbSe2O8
1.0
-2.963 -3.516 2.191
2.930 0.125 4.164
-3.322 5.894 -0.954
O Na Tb Se
8 1 1 2
Direct
0.042 0.427 0.340
0.573 0.702 0.660
0.716 0.819 0.148
0.433 0.330 0.148
0.181 0.567 0.852
0.670 0.284 0.852
0.087 0.958 0.660
0.298 0.913 0.340
0.750 0.250 0.500
0.000 0.000 0.000
0.500 0.500 0.000
0.250 0.750 0.500
```

formation energy without anion corrections: -1.49 eV per atom
symmetry: I-4 (82)
total energy: -70.44 eV for the cell shown

=====

Entry 5:
The following is a DFT calculation (PBE) of a geometry-optimized NaTcSeO6 structure.

```
NaTcSeO6
1.0
-3.951 3.368 -0.703
-3.372 -3.846 0.523
1.530 2.656 4.127
O Tc Na Se
6 1 1 1
Direct
0.294 0.948 0.668
0.294 0.721 0.052
0.706 0.948 0.279
0.706 0.721 0.668
0.706 0.332 0.052
0.294 0.332 0.279
0.500 0.667 0.333
0.000 0.333 0.667
0.500 0.000 0.000
```

formation energy without anion corrections: -1.11 eV per atom
symmetry: P312 (149)
total energy: -54.93 eV for the cell shown

=====

Entry 6:
The following is a DFT calculation (PBE) of a geometry-optimized NaTeSe2O8 structure.

```
NaTeSe2O8
1.0
5.385 0.000 0.000
2.693 4.664 0.000
2.693 1.555 7.805
Se O Te Na
2 8 1 1
Direct
0.252 0.252 0.243
0.748 0.748 0.757
0.599 0.250 0.168
0.818 0.818 0.545
0.401 0.750 0.832
0.016 0.401 0.832
0.984 0.599 0.168
0.250 0.984 0.168
0.750 0.016 0.832
0.182 0.182 0.455
0.000 0.000 0.000
0.500 0.500 0.500
```

formation energy without anion corrections: -0.69 eV per atom
symmetry: R-3 (148)
total energy: -59.41 eV for the cell shown

=====

Repeat the sixth record exactly.
The following is a DFT calculation (PBE) of a geometry-optimized NaTeSe2O8 structure.

```
NaTeSe2O8
1.0
5.385 0.000 0.000
2.693 4.664 0.000
2.693 1.555 7.805
Se O Te Na
2 8 1 1
Direct
0.252 0.252 0.243
0.748 0.748 0.757
0.599 0.250 0.168
0.818 0.818 0.545
0.401 0.750 0.832
0.016 0.401 0.832
0.984 0.599 0.168
0.250 0.984 0.168
0.750 0.016 0.832
0.182 0.182 0.455
0.000 0.000 0.000
0.500 0.500 0.500
```

formation energy without anion corrections: -0.69 eV per atom
symmetry: R-3 (148)
total energy: -59.41 eV for the cell shown

=====

Number 5 is which compound?
NaTcSeO6